Record 1
DFT (PBE) results for a geometry-optimized Nd5ThHg6 structure.

Properties
DOS(E_F) in states/eV/cell: 12.85
Crystal system: orthorhombic
Energy of formation from the pure elements in eV/f.u.: -5.042

```
12
Lattice="2.705 -8.129 0.000 2.705 8.129 0.000 0.000 0.000 7.697" Properties=species:S:1:pos:R:3 pbc="T T T"
Nd 0.000 0.000 0.000
Nd 2.705 2.713 0.000
Nd 2.705 2.690 3.849
Nd 2.705 -2.690 3.849
Nd 2.705 -2.713 0.000
Th 0.000 0.000 3.849
Hg 2.705 5.412 1.928
Hg 2.705 5.412 5.770
Hg 2.705 0.000 1.912
Hg 2.705 0.000 5.785
Hg 2.705 -5.412 1.928
Hg 2.705 -5.412 5.770
```

---

Record 2
DFT (PBE) results for a geometry-optimized Nd2ThHg8 structure.

Properties
DOS(E_F) in states/eV/cell: 5.43
Crystal system: orthorhombic
Energy of formation from the pure elements in eV/f.u.: -3.102

```
11
Lattice="-2.607 3.725 7.507 2.607 -3.725 7.507 2.607 3.725 -7.507" Properties=species:S:1:pos:R:3 pbc="T T T"
Nd 0.000 0.000 2.862
Nd 0.000 0.000 12.152
Th 0.000 0.000 7.507
Hg 2.607 1.585 -2.230
Hg 0.000 1.588 0.000
Hg 2.607 0.000 5.124
Hg 2.607 1.585 2.230
Hg 0.000 2.139 5.277
Hg 0.000 3.725 2.383
Hg 0.000 5.861 0.000
Hg 0.000 2.139 9.737
```

---

Record 3
DFT (PBE) results for a geometry-optimized Nd2ThHg5 structure.

Properties
DOS(E_F) in states/eV/cell: 10.01
Crystal system: tetragonal
Energy of formation from the pure elements in eV/f.u.: -2.875

```
16
Lattice="5.298 0.000 0.000 0.000 5.298 0.000 0.000 0.000 15.206" Properties=species:S:1:pos:R:3 pbc="T T T"
Nd 0.000 0.000 3.548
Nd 0.000 0.000 11.658
Nd 2.649 2.649 4.055
Nd 2.649 2.649 11.151
Th 0.000 0.000 7.603
Th 2.649 2.649 0.000
Hg 0.000 0.000 0.000
Hg 0.000 2.649 1.845
Hg 0.000 2.649 5.758
Hg 0.000 2.649 9.448
Hg 0.000 2.649 13.361
Hg 2.649 0.000 1.845
Hg 2.649 0.000 5.758
Hg 2.649 0.000 9.448
Hg 2.649 0.000 13.361
Hg 2.649 2.649 7.603
```

---

Record 4
DFT (PBE) results for a geometry-optimized Nd4ThHg structure.

Properties
DOS(E_F) in states/eV/cell: 7.19
Crystal system: tetragonal
Energy of formation from the pure elements in eV/f.u.: -0.773

```
6
Lattice="3.671 0.000 0.000 0.000 3.671 0.000 0.000 0.000 14.448" Properties=species:S:1:pos:R:3 pbc="T T T"
Nd 0.000 0.000 2.057
Nd 0.000 0.000 12.390
Nd 1.836 1.836 4.766
Nd 1.836 1.836 9.682
Th 0.000 0.000 7.224
Hg 1.836 1.836 0.000
```

---

Record 5
DFT (PBE) results for a geometry-optimized NdTh2Hg3 structure.

Properties
DOS(E_F) in states/eV/cell: 5.94
Crystal system: tetragonal
Energy of formation from the pure elements in eV/f.u.: -1.715

```
6
Lattice="3.827 0.000 0.000 0.000 3.827 0.000 0.000 0.000 11.497" Properties=species:S:1:pos:R:3 pbc="T T T"
Nd 0.000 0.000 0.000
Th 0.000 0.000 3.841
Th 0.000 0.000 7.656
Hg 1.913 1.913 1.891
Hg 1.913 1.913 5.748
Hg 1.913 1.913 9.606
```

---

Record 6
DFT (PBE) results for a geometry-optimized NdThTlHg structure.

Properties
DOS(E_F) in states/eV/cell: 23.84
Crystal system: cubic
Energy of formation from the pure elements in eV/f.u.: -1.056

```
16
Lattice="7.741 0.000 0.000 0.000 7.741 0.000 0.000 0.000 7.741" Properties=species:S:1:pos:R:3 pbc="T T T"
Nd 0.000 0.000 0.000
Nd 0.000 3.871 3.871
Nd 3.871 0.000 3.871
Nd 3.871 3.871 0.000
Th 0.000 0.000 3.871
Th 0.000 3.871 0.000
Th 3.871 0.000 0.000
Th 3.871 3.871 3.871
Tl 1.935 1.935 5.806
Tl 1.935 5.806 1.935
Tl 5.806 1.935 1.935
Tl 5.806 5.806 5.806
Hg 1.935 1.935 1.935
Hg 1.935 5.806 5.806
Hg 5.806 1.935 5.806
Hg 5.806 5.806 1.935
```